No. 1
VASP calculation (GGA-PBE) on LaSc2AuN after structural relaxation.

The calculation puts the formation energy from raw total energies at -4.85 eV per formula unit. For the final energy, the calculation gives -6.8077 eV/atom.

The structure belongs to space group P4/mmm (No. 123); the cell edges are 4.4514, 4.4514 and 5.0842 Å and the angles 90.00°, 90.00° and 90.00°. The asymmetric unit holds La at (0.0000, 0.0000, 0.0000), Sc at (0.0000, 0.5000, 0.5000), Au at (0.5000, 0.5000, 0.0000) and N at (0.0000, 0.0000, 0.5000).

---

No. 2
VASP calculation (GGA-PBE) on Sr2Ag3Sn4Pd after structural relaxation.

For the formation energy, the calculation gives -421 meV/atom. For the final energy, the calculation gives -3.7333 eV/atom.

The structure belongs to space group P-4m2 (No. 115); the cell edges are 4.7607, 4.7607 and 11.3296 Å and the angles 90.00°, 90.00° and 90.00°. The asymmetric unit holds Sr at (0.0000, 0.5000, 0.2381), Ag at (0.0000, 0.0000, 0.0000), Ag at (0.0000, 0.5000, 0.6409), Sn at (0.0000, 0.0000, 0.5000), Sn at (0.0000, 0.5000, 0.8810), Sn at (0.5000, 0.5000, 0.5000) and Pd at (0.5000, 0.5000, 0.0000).

---

No. 3
VASP calculation (GGA-PBE) on NaPt4S8 after structural relaxation.

The calculation puts the formation energy from raw total energies at -5.59 eV per formula unit. For the final energy, the calculation gives -4.9303 eV/atom.

The structure belongs to space group R-3m (No. 166, hexagonal axes); the cell edges are 7.1898, 7.1898 and 20.4583 Å and the angles 90.00°, 90.00° and 120.00°. The asymmetric unit holds Na at (0.0000, 0.0000, 0.0000), Pt at (0.0000, 0.0000, 0.5000), Pt at (0.0000, 0.5000, 0.5000), S at (0.0000, 0.0000, 0.2269) and S at (0.0067, 0.5033, 0.7729).

---

No. 4
VASP calculation (GGA-PBE) on TbHoTh after structural relaxation.

For the formation energy, the calculation gives 142 meV/atom. For the final energy, the calculation gives -5.4011 eV/atom.

The structure belongs to space group P6_3mc (No. 186); the cell edges are 3.4821, 3.4821 and 18.4473 Å and the angles 90.00°, 90.00° and 120.00°. The asymmetric unit holds Tb at (0.3333, 0.6667, 0.0000), Ho at (0.0000, 0.0000, 0.1552) and Th at (0.3333, 0.6667, 0.8167).